1.
Compound: YSiRu
Source: Alexandria via LeMat-Bulk
Functional: PBE-GGA
Structure: relaxed

* formation energy from raw total energies: 0.608 eV/atom
* V: 22.330 Å³/atom

Unit cell a=6.447 b=6.447 c=6.447 alpha=90.00 beta=90.00 gamma=90.00
Space group F-43m (No. 216)
Symmetry-distinct sites (fractional):
Y 0.000 0.000 0.000 (multiplicity 4)
Si 0.250 0.250 0.750 (multiplicity 4)
Ru 0.250 0.250 0.250 (multiplicity 4)

2.
Compound: KRbMn3
Source: Alexandria via LeMat-Bulk
Functional: PBE-GGA
Structure: relaxed

* V: 45.239 Å³/atom
* offset from the most stable computed form: 0.000 eV per atom

Unit cell a=6.093 b=6.093 c=6.093 alpha=90.00 beta=90.00 gamma=90.00
Space group Pm-3m (No. 221)
Symmetry-distinct sites (fractional):
K 0.000 0.000 0.000 (multiplicity 1)
Rb 0.500 0.500 0.500 (multiplicity 1)
Mn 0.000 0.000 0.500 (multiplicity 3)

3.
Compound: CaSmHo2Bi4
Source: Alexandria via LeMat-Bulk
Functional: PBE-GGA
Structure: relaxed

* V: 32.764 Å³/atom

Unit cell a=7.839 b=4.495 c=7.873 alpha=90.00 beta=109.13 gamma=90.00
Space group P2/m (No. 10)
Symmetry-distinct sites (fractional):
Ca 0.000 0.000 0.000 (multiplicity 1)
Sm 0.500 0.500 0.000 (multiplicity 1)
Ho 0.000 0.500 0.500 (multiplicity 1)
Ho 0.500 0.000 0.500 (multiplicity 1)
Bi 0.248 0.000 0.743 (multiplicity 2)
Bi 0.255 0.500 0.259 (multiplicity 2)

4.
Compound: SrAsPt2
Source: Alexandria via LeMat-Bulk
Functional: PBE-GGA
Structure: relaxed

* V: 21.187 Å³/atom

Unit cell a=3.675 b=5.225 c=8.828 alpha=90.00 beta=90.00 gamma=90.00
Space group Imm2 (No. 44)
Symmetry-distinct sites (fractional):
Sr 0.000 0.000 0.000 (multiplicity 2)
As 0.000 0.500 0.782 (multiplicity 2)
Pt 0.000 0.000 0.468 (multiplicity 2)
Pt 0.000 0.500 0.196 (multiplicity 2)

5.
Compound: ZrNi2Sb2
Source: Alexandria via LeMat-Bulk
Functional: PBE-GGA
Structure: relaxed

* formation energy from raw total energies: -0.169 eV/atom
* V: 18.025 Å³/atom

Unit cell a=7.622 b=7.622 c=3.103 alpha=90.00 beta=90.00 gamma=90.00
Space group P4/mbm (No. 127)
Symmetry-distinct sites (fractional):
Zr 0.000 0.000 0.000 (multiplicity 2)
Ni 0.139 0.361 0.500 (multiplicity 4)
Sb 0.152 0.652 0.000 (multiplicity 4)

6.
Compound: Cs2PtCl6
Source: Alexandria via LeMat-Bulk
Functional: PBE-GGA
Structure: relaxed

* formation energy from raw total energies: -1.262 eV/atom
* V: 32.804 Å³/atom

Unit cell a=10.570 b=10.570 c=10.570 alpha=90.00 beta=90.00 gamma=90.00
Space group Fm-3m (No. 225)
Symmetry-distinct sites (fractional):
Cs 0.250 0.250 0.250 (multiplicity 8)
Pt 0.000 0.000 0.000 (multiplicity 4)
Cl 0.000 0.000 0.223 (multiplicity 24)

7.
Compound: La4CoHI2
Source: Alexandria via LeMat-Bulk
Functional: PBE-GGA
Structure: relaxed

* V: 29.093 Å³/atom

Unit cell a=6.835 b=4.202 c=8.380 alpha=90.00 beta=104.76 gamma=90.00
Space group P2/m (No. 10)
Symmetry-distinct sites (fractional):
La 0.244 0.000 0.181 (multiplicity 2)
La 0.253 0.500 0.815 (multiplicity 2)
Co 0.000 0.500 0.000 (multiplicity 1)
H 0.500 0.000 0.000 (multiplicity 1)
I 0.000 0.000 0.500 (multiplicity 1)
I 0.500 0.500 0.500 (multiplicity 1)

8.
Compound: Li2ZnPt
Source: Alexandria via LeMat-Bulk
Functional: PBE-GGA
Structure: relaxed

* V: 14.737 Å³/atom

Unit cell a=2.760 b=2.760 c=7.741 alpha=90.00 beta=90.00 gamma=90.00
Space group P4/mmm (No. 123)
Symmetry-distinct sites (fractional):
Li 0.000 0.000 0.226 (multiplicity 2)
Zn 0.500 0.500 0.500 (multiplicity 1)
Pt 0.500 0.500 0.000 (multiplicity 1)

Per-record electronic total energy, eV per cell: -77.35 -20.65 -37.88 -40.62 -58.40 -120.74 -38.58 -12.63